Entry 1:
Pr2Sm7Tm4 (PBE, optimized geometry); ΔH_f (0 K) = 18.5 kJ per mole of atoms; uncorrected energy = -58.0 eV for the cell shown; size of the total moment = 0.00 Bohr magnetons per cell; space-group type = P-31m (162)
1.0
-4.720 1.759 -3.566
-1.082 -2.838 5.372
-0.267 11.670 6.111
Sm Tm Pr
7 4 2
Cartesian
-0.458 1.583 3.351
-3.191 10.156 2.481
-3.728 1.945 2.517
-0.891 7.250 8.132
0.000 0.000 0.000
-2.341 8.647 5.400
-1.796 3.274 0.064
-2.428 4.530 5.448
-3.641 6.062 2.469
-0.105 4.596 2.406
-4.882 8.834 0.138
-2.295 -1.306 2.393
-3.507 0.227 -0.587

Entry 2:
Ag3PbS (PBE, optimized geometry); E above lowest polymorph = 707 meV per atom; uncorrected energy = -11.4 eV for the cell shown; formation energy without anion corrections = 0.994 eV per atom; size of the total moment = 1.38 Bohr magnetons per cell; space-group type = Pm-3m (221)
1.0
5.343 0.000 0.000
0.000 5.343 0.000
0.000 0.000 5.343
Ag S Pb
3 1 1
Cartesian
0.000 0.000 2.672
2.672 0.000 0.000
0.000 2.672 0.000
2.672 2.672 2.672
0.000 0.000 0.000